Compound: CaYFe2Br
Source: Alexandria via LeMat-Bulk
Functional: PBEsol
Structure: optimized geometry

Geometry as POSCAR:
```
CaYFe2Br
1.0
4.557 0.000 0.000
0.000 4.557 0.000
0.000 0.000 5.181
Ca Y Fe Br
1 1 2 1
Direct
0.000 0.000 0.000 Ca
0.500 0.500 0.000 Y
0.000 0.500 0.500 Fe
0.500 0.000 0.500 Fe
0.500 0.500 0.500 Br
```

uncorrected energy: -25.80 eV/cell
formation energy (no corrections): 13.61 kcal/mol of atoms
mass density: 4947 kg/m3

---

Compound: CaGaIr2Br
Source: Alexandria via LeMat-Bulk
Functional: PBEsol
Structure: optimized geometry

Geometry as POSCAR:
```
CaGaIr2Br
1.0
4.655 0.000 0.000
0.000 4.655 0.000
0.000 0.000 5.118
Ca Ga Ir Br
1 1 2 1
Direct
0.000 0.000 0.000 Ca
0.500 0.500 0.000 Ga
0.000 0.500 0.500 Ir
0.500 0.000 0.500 Ir
0.500 0.500 0.500 Br
```

uncorrected energy: -22.36 eV/cell
formation energy (no corrections): 21.35 kcal/mol of atoms
mass density: 8596 kg/m3